1.
DFT (PBE-GGA) results for a relaxed structure of Ac3LaH.

The space group is Pm-3m. The final energy comes out at -4.263 eV/atom. As for the crystal system: cubic.

Cell: 5.5522 5.5522 5.5522 Å, 90.00 90.00 90.00°
Last column: nearest neighbours and their distance in Å.
Sites, in units of the cell vectors:
Ac: 0.0000 0.0000 0.5000  2 H 2.78
Ac: 0.0000 0.5000 0.0000  2 H 2.78
Ac: 0.5000 0.0000 0.0000  2 H 2.78
H: 0.0000 0.0000 0.0000  6 Ac 2.78
La: 0.5000 0.5000 0.5000  12 Ac 3.93


2.
DFT (PBE-GGA) results for a relaxed structure of LiErCdGe.

The space group is F-43m. The final energy comes out at -3.410 eV/atom. As for the crystal system: cubic.

Cell: 4.9037 4.9037 4.9037 Å, 60.00 60.00 60.00°
Last column: nearest neighbours and their distance in Å.
Sites, in units of the cell vectors:
Er: 0.0000 0.0000 0.0000  4 Cd 3.00, 4 Ge 3.00
Ge: 0.2500 0.2500 0.2500  4 Er 3.00, 4 Li 3.00
Cd: 0.7500 0.7500 0.7500  4 Li 3.00, 4 Er 3.00
Li: 0.5000 0.5000 0.5000  4 Ge 3.00, 4 Cd 3.00


3.
DFT (PBE-GGA) results for a relaxed structure of BaSr2Pt2.

The space group is I4/mmm. As for the crystal system: tetragonal. Its offset from the most stable computed form is 65 meV/atom.

Cell: 4.9192 4.9192 7.4350 Å, 70.68 70.68 90.00°
Last column: nearest neighbours and their distance in Å.
Sites, in units of the cell vectors:
Sr: 0.7500 0.2500 0.5000  4 Pt 3.14, 4 Sr 3.48
Sr: 0.2500 0.7500 0.5000  4 Pt 3.14, 4 Sr 3.48
Pt: 0.3981 0.3981 0.2038  1 Pt 2.68
Pt: 0.6019 0.6019 0.7962  1 Pt 2.68
Ba: 0.0000 0.0000 0.0000  8 Pt 3.73, 8 Sr 4.10


4.
DFT (PBE-GGA) results for a relaxed structure of CeNdPdAu.

The space group is Amm2. As for the crystal system: orthorhombic. Its offset from the most stable computed form is 0 meV/atom.

Cell: 3.8710 4.6431 5.9537 Å, 90.00 108.97 90.00°
Last column: nearest neighbours and their distance in Å.
Sites, in units of the cell vectors:
Nd: 0.1412 0.0000 0.2825  3 Pd 3.03-3.24, 4 Au 3.09
Pd: 0.4101 0.0000 0.8202  3 Nd 3.03-3.24, 2 Au 3.04, 4 Ce 3.07
Ce: 0.8646 0.5000 0.7291  4 Pd 3.07, 3 Au 3.14-3.16
Au: 0.5841 0.5000 0.1682  2 Pd 3.04, 4 Nd 3.09, 3 Ce 3.14-3.16


5.
DFT (PBE-GGA) results for a relaxed structure of Mn2FeRe.

The space group is Cm. The final energy comes out at -9.713 eV/atom. As for the crystal system: monoclinic.

Cell: 4.4350 4.4350 4.5113 Å, 80.10 80.10 34.16°
Last column: nearest neighbours and their distance in Å.
Sites, in units of the cell vectors:
Mn: 0.7457 0.7457 0.7739  5 Mn 2.49-2.60, 4 Fe 2.52-2.69, 3 Re 2.64-2.65
Mn: 0.0017 0.0017 0.9891  5 Mn 2.49-2.60, 3 Fe 2.58-2.61, 4 Re 2.60-2.61
Fe: 0.2531 0.2531 0.2495  3 Re 2.52-2.58, 7 Mn 2.52-2.69, 2 Fe 2.60
Re: 0.4995 0.4995 0.4875  3 Fe 2.52-2.58, 7 Mn 2.60-2.65, 2 Re 2.60


6.
DFT (PBE-GGA) results for a relaxed structure of BeGaIN2.

The space group is P4/mmm. As for the crystal system: tetragonal. Its offset from the most stable computed form is 37 meV/atom.

Cell: 3.7349 3.7349 6.8563 Å, 90.00 90.00 90.00°
Last column: nearest neighbours and their distance in Å.
Sites, in units of the cell vectors:
I: 0.0000 0.0000 0.5000  4 Be 2.64
N: 0.0000 0.5000 0.0000  2 Ga 1.87
N: 0.5000 0.0000 0.0000  2 Ga 1.87
Be: 0.5000 0.5000 0.5000  4 I 2.64
Ga: 0.0000 0.0000 0.0000  4 N 1.87


7.
DFT (PBE-GGA) results for a relaxed structure of Tb3Fe2B9.

The space group is Immm. The final energy comes out at -6.756 eV/atom. As for the crystal system: orthorhombic.

Cell: 3.1272 7.8315 7.8315 Å, 58.35 78.48 78.48°
Last column: nearest neighbours and their distance in Å.
Sites, in units of the cell vectors:
B: 0.6291 0.6751 0.0668  2 B 1.67
B: 0.3709 0.9332 0.3249  2 B 1.67
B: 0.6291 0.0668 0.6751  2 B 1.67
B: 0.8810 0.3901 0.8478  2 B 1.67
B: 0.1190 0.6099 0.1522  2 B 1.67
B: 0.3709 0.3249 0.9332  2 B 1.67
B: 0.1190 0.1522 0.6099  2 B 1.67
B: 0.8810 0.8478 0.3901  2 B 1.67
B: 0.0000 0.5000 0.5000  4 Fe 2.00
Tb: 0.0000 0.0000 0.0000  12 B 2.61-2.76
Tb: 0.2636 0.7364 0.7364  12 B 2.73-2.83
Tb: 0.7364 0.2636 0.2636  12 B 2.73-2.83
Fe: 0.5000 0.6639 0.3361  4 B 2.00-2.03
Fe: 0.5000 0.3361 0.6639  4 B 2.00-2.03


8.
DFT (PBE-GGA) results for a relaxed structure of CrReRu2.

The space group is Pm. As for the crystal system: monoclinic. Its offset from the most stable computed form is 37 meV/atom.

Cell: 4.1007 2.7256 5.1530 Å, 74.78 90.00 90.00°
Last column: nearest neighbours and their distance in Å.
Sites, in units of the cell vectors:
Re: 0.5000 0.5617 0.7550  2 Cr 2.44, 7 Ru 2.64-2.70, 2 Re 2.73
Cr: 0.0000 0.6917 0.4877  2 Re 2.44, 5 Ru 2.57-2.66, 2 Cr 2.73
Ru: 0.5000 0.2926 0.2869  3 Re 2.64-2.70, 4 Cr 2.65-2.66, 6 Ru 2.73-2.93
Ru: 0.0000 0.9540 0.9705  3 Cr 2.57-2.76, 4 Re 2.68-2.69, 2 Ru 2.73


no.,calculated volume (Å³/cell)
1,171.2
2,83.4
3,159.0
4,101.2
5,49.0
6,95.6
7,158.9
8,55.6